Below is a geometry-optimized Hf2TiRe structure, with properties calculated at the GGA-PBE level. Values from VASP.

Properties
* energy of formation: -0.126 eV per atom
* symmetry: No. 123
* total magnetic moment: 0.1 Bohr magnetons per cell
* energy above the most stable polymorph in this dataset: 0.0196 eV/atom
* VASP energy: -10.1887 eV per atom
* D(E_F): 5.316 states/eV/cell

```
&SYSTEM
  ibrav = 0, nat = 4, ntyp = 3
/
ATOMIC_SPECIES
Hf 178.49 Hf.upf
Ti 47.87 Ti.upf
Re 186.21 Re.upf
ATOMIC_POSITIONS crystal
Hf 0.0000 0.5000 0.0000
Hf 0.5000 0.0000 0.0000
Ti 0.0000 0.0000 0.5000
Re 0.5000 0.5000 0.5000
CELL_PARAMETERS angstrom
4.6963 0.0000 0.0000
0.0000 4.6963 0.0000
0.0000 0.0000 3.3237
```